Compound: Dy6AsO12
Source: Alexandria via LeMat-Bulk
Functional: PBE
Structure: relaxed

Summary:
Raw formation energy in kJ per mole of atoms: -295.6
Fermi-level density of states in states/eV/atom: 0.53
Size of the total moment in Bohr magnetons per cell: 1.138

Cell and atoms, written as CIF:
```
data_Dy6AsO12
_space_group_name_H-M_alt 'P 1'
_space_group_IT_number 1
_cell_length_a 6.419
_cell_length_b 6.419
_cell_length_c 6.419
_cell_angle_alpha 98.62
_cell_angle_beta 98.62
_cell_angle_gamma 98.62
loop_
_space_group_symop_operation_xyz
'x,y,z'
loop_
_atom_site_label
_atom_site_fract_x
_atom_site_fract_y
_atom_site_fract_z
Dy1 0.860 0.390 0.702
Dy2 0.610 0.298 0.140
Dy3 0.298 0.140 0.610
Dy4 0.702 0.860 0.390
Dy5 0.390 0.702 0.860
Dy6 0.140 0.610 0.298
O1 0.823 0.559 0.409
O2 0.591 0.177 0.441
O3 0.968 0.292 0.065
O4 0.708 0.935 0.032
O5 0.177 0.441 0.591
O6 0.559 0.409 0.823
O7 0.409 0.823 0.559
O8 0.441 0.591 0.177
O9 0.935 0.032 0.708
O10 0.065 0.968 0.292
O11 0.032 0.708 0.935
O12 0.292 0.065 0.968
As1 0.000 0.000 0.000
```

***

Compound: TlReBr2
Source: Alexandria via LeMat-Bulk
Functional: PBE
Structure: relaxed

Summary:
Raw formation energy in kJ per mole of atoms: 47.8
Fermi-level density of states in states/eV/atom: 0.49
Size of the total moment in Bohr magnetons per cell: 0.000

Cell and atoms, written as CIF:
```
data_TlReBr2
_space_group_name_H-M_alt 'P 1'
_space_group_IT_number 1
_cell_length_a 10.734
_cell_length_b 10.734
_cell_length_c 10.734
_cell_angle_alpha 17.26
_cell_angle_beta 17.26
_cell_angle_gamma 17.26
loop_
_space_group_symop_operation_xyz
'x,y,z'
loop_
_atom_site_label
_atom_site_fract_x
_atom_site_fract_y
_atom_site_fract_z
Br1 0.075 0.075 0.075
Br2 0.925 0.925 0.925
Re1 0.000 0.000 0.000
Tl1 0.500 0.500 0.500
```

***

Q: Look up the raw formation energy of the first one.
A: -295.6 kJ per mole of atoms

***

Q: What is the formula in the second record?
A: TlReBr2

***

Q: The highest size of the total moment belongs to which entry?
A: Dy6AsO12